First-principles (PBE-GGA) data for an optimized crystal structure of SiAu2F, as listed in the Alexandria database. Values from VASP.

Results
- formation energy without anion corrections (eV per atom) = -0.308
- total moment (μB/f.u.) = 0.0
- DOS(E_F) (states/eV/cell) = 2.01
- calculated volume (Å³/cell) = 157

```
&SYSTEM
  ibrav = 0, nat = 8, ntyp = 3
/
ATOMIC_SPECIES
Si 28.09 Si.upf
Au 196.97 Au.upf
F 19.00 F.upf
CELL_PARAMETERS angstrom
-3.1127 3.1127 4.0465
3.1127 -3.1127 4.0465
3.1127 3.1127 -4.0465
ATOMIC_POSITIONS crystal
Si 0.0000 0.0000 0.0000
Si 0.7500 0.2500 0.5000
Au 0.1119 0.6250 0.9869
Au 0.3750 0.3619 0.4869
Au 0.6381 0.1250 0.0131
Au 0.8750 0.8881 0.5131
F 0.2500 0.7500 0.5000
F 0.5000 0.5000 0.0000
```